(1)
Tb2PuAgO8 after structural relaxation. Source: Alexandria, functional PBE-GGA.

Lattice parameters (Å, degrees): 5.0304 5.0334 7.1434 84.84 84.96 85.55
Closest atoms and distances in Å follow each position.
Sites, in units of the cell vectors:
Tb1 0.0370 0.0361 0.2362  6 O 2.22-2.40
Tb2 0.9630 0.9639 0.7638  6 O 2.22-2.40
Pu1 0.5000 0.5000 0.5000  4 O 1.88-1.99
Ag1 0.5000 0.5000 0.0000  4 O 2.04
O1 0.2013 0.7970 0.0001  1 Ag 2.04, 2 Tb 2.22
O2 0.2060 0.7897 0.5006  1 Pu 1.99
O3 0.2889 0.2839 0.6717  1 Pu 1.88
O4 0.3424 0.3410 0.2544  1 Ag 2.04, 1 Pu 2.22, 1 Tb 2.27
O5 0.6576 0.6590 0.7456  1 Ag 2.04, 1 Pu 2.22, 1 Tb 2.27
O6 0.7111 0.7161 0.3283  1 Pu 1.88
O7 0.7940 0.2103 0.4994  1 Pu 1.99
O8 0.7987 0.2030 0.9999  1 Ag 2.04, 2 Tb 2.22

- E: -7.83 eV/atom
- Total magnetization: 0.99 μB per formula unit

(2)
Ce6Hg2Sb after structural relaxation. Source: Alexandria, functional PBE-GGA.

Lattice parameters (Å, degrees): 9.0406 9.0406 3.1514 90.00 90.00 120.00
Closest atoms and distances in Å follow each position.
Sites, in units of the cell vectors:
Ce1 0.0000 0.3315 0.0000  5 Ce 3.00-3.15
Ce2 0.0000 0.6685 0.0000  5 Ce 3.00-3.15
Ce3 0.3315 0.0000 0.0000  5 Ce 3.00-3.15
Ce4 0.3315 0.3315 0.0000  5 Ce 3.00-3.15
Ce5 0.6685 0.0000 0.0000  5 Ce 3.00-3.15
Ce6 0.6685 0.6685 0.0000  5 Ce 3.00-3.15
Hg1 0.3333 0.6667 0.5000  2 Hg 3.15, 12 Ce 3.41
Hg2 0.6667 0.3333 0.5000  2 Hg 3.15, 12 Ce 3.41
Sb1 0.0000 0.0000 0.5000  2 Sb 3.15, 12 Ce 3.39

- E: -4.70 eV/atom
- Total magnetization: 4.37 μB per formula unit

Number 1: raw formation energy -2.322 eV/atom, D(E_F) 0.169 states/eV per atom. Number 2: raw formation energy -0.215 eV/atom, D(E_F) 2.776 states/eV per atom.